Cs2SrTmBr6 | GGA-PBE | optimized geometry

abc: 8.238 8.241 11.657
angles: 90.00 90.00 90.00
Each line ends with the local moment (μB).
Positions (direct):
Br 0.500 0.250 0.740  0.00
Br 0.760 0.991 0.000  0.00
Br 0.740 0.489 0.500  0.00
Br 0.500 0.250 0.260  0.00
Br 0.260 0.489 0.500  0.00
Br 0.740 0.009 0.500  0.00
Br 0.000 0.750 0.760  0.00
Br 0.260 0.009 0.500  0.00
Br 0.240 0.991 0.000  0.00
Br 0.760 0.511 0.000  0.00
Br 0.000 0.750 0.240  0.00
Br 0.240 0.511 0.000  0.00
Tm 0.500 0.249 0.500  0.27
Tm 0.000 0.751 0.000  0.27
Sr 0.000 0.749 0.500  0.03
Sr 0.500 0.251 0.000  0.03
Cs 0.000 0.250 0.250  0.00
Cs 0.500 0.750 0.250  0.00
Cs 0.000 0.250 0.750  0.00
Cs 0.500 0.750 0.750  0.00

The value obtained for the formation energy (no corrections) is -17.6 eV per formula unit. The calculation puts the magnetization at 0.05 μB/atom. Its space-group type is Pmmn, No. 59. The density of states at the Fermi level comes out at 9.61 states/eV/cell.